This record from Alexandria via LeMat-Bulk describes crystalline ReTe4Mo2 at its relaxed geometry. The functional is PBEsol.

a b c (Å): 6.961 7.018 7.023
angles (deg): 93.04 93.83 91.84
Fractional coordinates of all 14 atoms:
Re (0.450, 0.753, 0.583)
Re (0.754, 0.581, 0.458)
Te (0.255, 0.626, 0.878)
Te (0.615, 0.880, 0.262)
Te (0.888, 0.257, 0.625)
Te (0.747, 0.374, 0.125)
Te (0.386, 0.117, 0.743)
Te (0.111, 0.747, 0.373)
Te (0.793, 0.791, 0.793)
Te (0.206, 0.212, 0.198)
Mo (0.587, 0.455, 0.760)
Mo (0.548, 0.244, 0.417)
Mo (0.246, 0.417, 0.543)
Mo (0.413, 0.547, 0.243)

Output
Energy relative to the elements, uncorrected ... -227 meV/atom
V ... 342 Å³ per cell



This record from Alexandria via LeMat-Bulk describes crystalline FeBiH2 at its relaxed geometry. The functional is PBEsol.

a b c (Å): 4.033 4.033 4.033
angles (deg): 60.00 60.00 60.00
Fractional coordinates of all 4 atoms:
H (0.250, 0.250, 0.250)
H (0.750, 0.750, 0.750)
Bi (0.500, 0.500, 0.500)
Fe (0.000, 0.000, 0.000)

Output
V ... 46 Å³ per cell



This record from Alexandria via LeMat-Bulk describes crystalline K2TaSe at its relaxed geometry. The functional is PBEsol.

a b c (Å): 2.972 2.972 11.402
angles (deg): 90.00 90.00 102.85
Fractional coordinates of all 4 atoms:
K (0.000, 0.000, 0.280)
K (0.000, 0.000, 0.720)
Se (0.500, 0.500, 0.500)
Ta (0.500, 0.500, 0.000)

Output
Energy relative to the elements, uncorrected ... 534 meV/atom
V ... 98 Å³ per cell



This record from Alexandria via LeMat-Bulk describes crystalline MgCrB2 at its relaxed geometry. The functional is PBEsol.

a b c (Å): 3.640 3.640 7.681
angles (deg): 103.71 103.71 90.00
Fractional coordinates of all 8 atoms:
Cr (0.000, 0.000, 0.000)
Cr (0.250, 0.750, 0.500)
Mg (0.500, 0.500, 0.000)
Mg (0.750, 0.250, 0.500)
B (0.625, 0.875, 0.750)
B (0.125, 0.875, 0.750)
B (0.125, 0.875, 0.250)
B (0.125, 0.375, 0.250)

Output
V ... 96 Å³ per cell
ΔE_f ... 2.26 eV/f.u.



This record from Alexandria via LeMat-Bulk describes crystalline Ag2BPd2 at its relaxed geometry. The functional is PBEsol.

a b c (Å): 3.454 3.454 7.278
angles (deg): 103.73 103.73 90.00
Fractional coordinates of all 5 atoms:
B (0.000, 0.000, 0.000)
Pd (0.410, 0.410, 0.820)
Pd (0.590, 0.590, 0.180)
Ag (0.250, 0.750, 0.500)
Ag (0.750, 0.250, 0.500)

Output
V ... 82 Å³ per cell
ΔE_f ... 5.03 eV/f.u.



This record from Alexandria via LeMat-Bulk describes crystalline Sr2YTc at its relaxed geometry. The functional is PBEsol.

a b c (Å): 5.338 5.339 5.338
angles (deg): 119.99 90.00 119.99
Fractional coordinates of all 4 atoms:
Sr (0.000, 0.000, 0.000)
Sr (0.750, 0.500, 0.250)
Tc (0.500, 0.000, 0.500)
Y (0.250, 0.500, 0.750)

Output
V ... 108 Å³ per cell
ΔE_f ... 2.65 eV/f.u.



This record from Alexandria via LeMat-Bulk describes crystalline SrAlC2 at its relaxed geometry. The functional is PBEsol.

a b c (Å): 4.237 4.237 4.237
angles (deg): 60.00 60.00 60.00
Fractional coordinates of all 4 atoms:
Sr (0.500, 0.500, 0.500)
C (0.250, 0.250, 0.250)
C (0.750, 0.750, 0.750)
Al (0.000, 0.000, 0.000)

Output
V ... 54 Å³ per cell
ΔE_f ... 5.66 eV/f.u.



This record from Alexandria via LeMat-Bulk describes crystalline AlPtN2F at its relaxed geometry. The functional is PBEsol.

a b c (Å): 3.682 3.682 5.912
angles (deg): 90.00 90.00 90.00
Fractional coordinates of all 5 atoms:
N (0.000, 0.500, 0.000)
N (0.500, 0.000, 0.000)
Al (0.500, 0.500, 0.500)
Pt (0.000, 0.000, 0.000)
F (0.000, 0.000, 0.500)

Output
Energy relative to the elements, uncorrected ... 547 meV/atom
V ... 80 Å³ per cell



Calculated values (states/eV/cell) of Fermi-level density of states for the records, taken in order: 6.78; 5.09; 2.84; 1.10; 2.31; 2.75; 1.79; 3.20.
Calculated values (eV per atom) of raw total energy for the records, taken in order: -7.51; -4.00; -4.13; -5.93; -4.11; -4.78; -4.89; -5.46.